Entry from Alexandria via LeMat-Bulk: a relaxed Na3Tl3Pb crystal (PBE).

Values from the calculation:
symmetry	P2_1/c (14)
DFT formation energy	-80	meV/atom
total moment	0.000	μB per formula unit

a = 9.3009 Å, b = 8.7669 Å, c = 10.5509 Å
α = 90.00°, β = 90.00°, γ = 91.11°
With the nearest neighbours (Å) after each atom.
Element x y z (fractional)
Na  0.6838  0.0710  0.4276  4 Tl 3.32-3.68, 2 Pb 3.40-3.63, 1 Na 3.63
Na  0.8068  0.7000  0.2471  5 Tl 3.18-3.31, 2 Pb 3.26-3.29
Na  0.1838  0.5710  0.0724  4 Tl 3.32-3.68, 2 Pb 3.40-3.63, 1 Na 3.63
Na  0.6932  0.8000  0.7471  5 Tl 3.18-3.31, 2 Pb 3.26-3.29
Na  0.8162  0.4290  0.9276  4 Tl 3.32-3.68, 2 Pb 3.40-3.63, 1 Na 3.63
Na  0.3068  0.2000  0.2529  5 Tl 3.18-3.31, 2 Pb 3.26-3.29
Na  0.1908  0.5731  0.4311  2 Pb 3.32-3.63, 5 Tl 3.42-3.67, 1 Na 3.63
Na  0.1932  0.3000  0.7529  5 Tl 3.18-3.31, 2 Pb 3.26-3.29
Na  0.3092  0.9269  0.9311  2 Pb 3.32-3.63, 5 Tl 3.42-3.67, 1 Na 3.63
Na  0.3162  0.9290  0.5724  4 Tl 3.32-3.68, 2 Pb 3.40-3.63, 1 Na 3.63
Na  0.6908  0.0731  0.0689  2 Pb 3.32-3.63, 5 Tl 3.42-3.67, 1 Na 3.63
Na  0.8092  0.4269  0.5689  2 Pb 3.32-3.63, 5 Tl 3.42-3.67, 1 Na 3.63
Tl  0.4276  0.3204  0.9830  4 Tl 3.14-3.42, 4 Na 3.23-3.42
Tl  0.9123  0.0877  0.7481  2 Na 3.18-3.21, 3 Tl 3.24-3.39, 2 Pb 3.34-3.35
Tl  0.0724  0.1796  0.4830  4 Tl 3.14-3.42, 4 Na 3.23-3.42
Tl  0.9276  0.8204  0.5170  4 Tl 3.14-3.42, 4 Na 3.23-3.42
Tl  0.9300  0.3488  0.2545  2 Tl 3.14-3.24, 1 Pb 3.14, 1 Na 3.31
Tl  0.0700  0.6512  0.7455  2 Tl 3.14-3.24, 1 Pb 3.14, 1 Na 3.31
Tl  0.0877  0.9123  0.2519  2 Na 3.18-3.21, 3 Tl 3.24-3.39, 2 Pb 3.34-3.35
Tl  0.4300  0.8488  0.2455  2 Tl 3.14-3.24, 1 Pb 3.14, 1 Na 3.31
Tl  0.5877  0.4123  0.2481  2 Na 3.18-3.21, 3 Tl 3.24-3.39, 2 Pb 3.34-3.35
Tl  0.4123  0.5877  0.7519  2 Na 3.18-3.21, 3 Tl 3.24-3.39, 2 Pb 3.34-3.35
Tl  0.5724  0.6796  0.0170  4 Tl 3.14-3.42, 4 Na 3.23-3.42
Tl  0.5700  0.1512  0.7545  2 Tl 3.14-3.24, 1 Pb 3.14, 1 Na 3.31
Pb  0.0673  0.1777  0.0241  3 Tl 3.14-3.35, 4 Na 3.26-3.40, 1 Pb 3.37
Pb  0.5673  0.6777  0.4759  3 Tl 3.14-3.35, 4 Na 3.26-3.40, 1 Pb 3.37
Pb  0.4327  0.3223  0.5241  3 Tl 3.14-3.35, 4 Na 3.26-3.40, 1 Pb 3.37
Pb  0.9327  0.8223  0.9759  3 Tl 3.14-3.35, 4 Na 3.26-3.40, 1 Pb 3.37



Entry from Alexandria via LeMat-Bulk: a relaxed BaTeIrN2 crystal (PBE).

Values from the calculation:
symmetry	P4/mmm (123)
total moment	2.456	μB per formula unit
formation energy (no corrections)	2251	meV per atom

a = 4.2616 Å, b = 4.2616 Å, c = 7.3068 Å
α = 90.00°, β = 90.00°, γ = 90.00°
With the nearest neighbours (Å) after each atom.
Element x y z (fractional)
Ir  0.5000  0.5000  0.5000  4 Te 3.01
N  0.5000  0.0000  0.0000  2 Ba 2.13
N  0.0000  0.5000  0.0000  2 Ba 2.13
Te  0.0000  0.0000  0.5000  4 Ir 3.01
Ba  0.0000  0.0000  0.0000  4 N 2.13



Entry from Alexandria via LeMat-Bulk: a relaxed Ac8Ru2N crystal (PBE).

Values from the calculation:
symmetry	C2/m (12)
total moment	0.000	μB per formula unit
formation energy (no corrections)	-249	meV per atom

a = 4.0228 Å, b = 9.7806 Å, c = 9.8982 Å
α = 91.98°, β = 101.73°, γ = 90.00°
With the nearest neighbours (Å) after each atom.
Element x y z (fractional)
Ac  0.6417  0.9681  0.2834  1 N 2.77, 2 Ru 2.98
Ac  0.2258  0.3212  0.4516  2 Ru 3.18
Ac  0.9880  0.8122  0.9760  2 N 2.73
Ac  0.3583  0.0319  0.7166  1 N 2.77, 2 Ru 2.98
Ac  0.0120  0.1878  0.0240  2 N 2.73
Ac  0.7742  0.6788  0.5484  2 Ru 3.18
Ac  0.5979  0.5468  0.1958  2 Ru 2.97
Ac  0.4021  0.4532  0.8042  2 Ru 2.97
Ru  0.1526  0.7453  0.3052  7 Ac 2.97-3.28
Ru  0.8474  0.2547  0.6948  7 Ac 2.97-3.28
N  0.5000  0.0000  0.0000  6 Ac 2.73-2.77



Number 1: theoretical density 6.87 g/cm3. Number 2: theoretical density 6.07 g/cm3. Number 3: theoretical density 8.85 g/cm3.